Entry 1:
Below is a geometry-optimized Pm2YNi9 structure, with properties calculated at the PBE-GGA level.

Results
As for the energy of formation from the pure elements: -350 meV per atom. Its total moment is 0.948 μB per formula unit.

```
data_Pm2YNi9
_space_group_name_H-M_alt 'R -3 m'
_space_group_IT_number 166
_space_group_name_Hall '-R 3 2"'
_cell_length_a 4.9941
_cell_length_b 4.9941
_cell_length_c 24.7184
_cell_angle_alpha 90.00
_cell_angle_beta 90.00
_cell_angle_gamma 120.00
loop_
_atom_site_label
_atom_site_type_symbol
_atom_site_fract_x
_atom_site_fract_y
_atom_site_fract_z
Pm1 Pm 0.0000 0.0000 0.1383
Y1 Y 0.0000 0.0000 0.0000
Ni1 Ni 0.0000 0.0000 0.3329
Ni2 Ni 0.0000 0.0000 0.5000
Ni3 Ni 0.0005 0.5002 0.0804
```

Entry 2:
Below is a geometry-optimized PmY2Ni structure, with properties calculated at the PBE-GGA level.

Results
The value obtained for the offset from the most stable computed form is 0.030 eV per atom. As for the energy of formation from the pure elements: -191 meV per atom. Its total moment is 0.000 μB per formula unit.

```
data_PmY2Ni
_space_group_name_H-M_alt 'C m c m'
_space_group_IT_number 63
_space_group_name_Hall '-C 2c 2'
_cell_length_a 3.6614
_cell_length_b 12.2196
_cell_length_c 9.6954
_cell_angle_alpha 90.00
_cell_angle_beta 90.00
_cell_angle_gamma 90.00
loop_
_atom_site_label
_atom_site_type_symbol
_atom_site_fract_x
_atom_site_fract_y
_atom_site_fract_z
Pm1 Pm 0.0000 0.0836 0.2500
Y1 Y 0.0000 0.3628 0.0712
Ni1 Ni 0.0000 0.2368 0.7500
```

Entry 3:
Below is a geometry-optimized Pm3YNi structure, with properties calculated at the PBE-GGA level.

Results
The value obtained for the offset from the most stable computed form is 0.000 eV per atom. As for the energy of formation from the pure elements: -28 meV per atom. Its total moment is 0.000 μB per formula unit.

```
data_Pm3YNi
_space_group_name_H-M_alt 'P 63/m m c'
_space_group_IT_number 194
_space_group_name_Hall '-P 6c 2c'
_cell_length_a 7.6476
_cell_length_b 7.6476
_cell_length_c 5.9616
_cell_angle_alpha 90.00
_cell_angle_beta 90.00
_cell_angle_gamma 120.00
loop_
_atom_site_label
_atom_site_type_symbol
_atom_site_fract_x
_atom_site_fract_y
_atom_site_fract_z
Pm1 Pm 0.1775 0.3549 0.2500
Y1 Y 0.3333 0.6667 0.7500
Ni1 Ni 0.0000 0.0000 0.0000
```

Entry 4:
Below is a geometry-optimized PmYNi structure, with properties calculated at the PBE-GGA level.

Results
The value obtained for the offset from the most stable computed form is 0.053 eV per atom. As for the energy of formation from the pure elements: -189 meV per atom. Its total moment is 0.000 μB per formula unit.

```
data_PmYNi
_space_group_name_H-M_alt 'C 1 2/m 1'
_space_group_IT_number 12
_cell_length_a 13.0555
_cell_length_b 3.4506
_cell_length_c 6.9836
_cell_angle_alpha 90.00
_cell_angle_beta 105.69
_cell_angle_gamma 90.00
loop_
_space_group_symop_operation_xyz
'x,y,z'
'-x,-y,-z'
'-x,y,-z'
'x,-y,z'
'x+1/2,y+1/2,z'
'-x+1/2,-y+1/2,-z'
'-x+1/2,y+1/2,-z'
'x+1/2,-y+1/2,z'
loop_
_atom_site_label
_atom_site_type_symbol
_atom_site_fract_x
_atom_site_fract_y
_atom_site_fract_z
Pm1 Pm 0.1288 0.0000 0.0646
Y1 Y 0.1312 0.0000 0.5650
Ni1 Ni 0.0020 0.5000 0.7327
```

Entry 5:
Below is a geometry-optimized PmY2Ni structure, with properties calculated at the PBE-GGA level.

Results
The value obtained for the offset from the most stable computed form is 0.000 eV per atom. As for the energy of formation from the pure elements: -221 meV per atom. Its total moment is 0.000 μB per formula unit.

```
data_PmY2Ni
_space_group_name_H-M_alt 'P n m a'
_space_group_IT_number 62
_cell_length_a 6.9304
_cell_length_b 9.6934
_cell_length_c 6.4402
_cell_angle_alpha 90.00
_cell_angle_beta 90.00
_cell_angle_gamma 90.00
loop_
_space_group_symop_operation_xyz
'x,y,z'
'-x,-y,-z'
'-x+1/2,-y,z+1/2'
'x+1/2,y,-z+1/2'
'x+1/2,-y+1/2,-z+1/2'
'-x+1/2,y+1/2,z+1/2'
'-x,y+1/2,-z'
'x,-y+1/2,z'
loop_
_atom_site_label
_atom_site_type_symbol
_atom_site_fract_x
_atom_site_fract_y
_atom_site_fract_z
Pm1 Pm 0.0329 0.2500 0.1416
Y1 Y 0.1749 0.0671 0.6779
Ni1 Ni 0.1125 0.7500 0.4408
```

Entry 6:
Below is a geometry-optimized Pm3Y2Ni2 structure, with properties calculated at the PBE-GGA level.

Results
As for the energy of formation from the pure elements: -203 meV per atom. Its total moment is 0.000 μB per formula unit.

```
data_Pm3Y2Ni2
_space_group_name_H-M_alt 'C 1 2/m 1'
_space_group_IT_number 12
_cell_length_a 12.1338
_cell_length_b 3.7239
_cell_length_c 8.9962
_cell_angle_alpha 90.00
_cell_angle_beta 114.38
_cell_angle_gamma 90.00
loop_
_space_group_symop_operation_xyz
'x,y,z'
'-x,-y,-z'
'-x,y,-z'
'x,-y,z'
'x+1/2,y+1/2,z'
'-x+1/2,-y+1/2,-z'
'-x+1/2,y+1/2,-z'
'x+1/2,-y+1/2,z'
loop_
_atom_site_label
_atom_site_type_symbol
_atom_site_fract_x
_atom_site_fract_y
_atom_site_fract_z
Pm1 Pm 0.0000 0.0000 0.0000
Pm2 Pm 0.1153 0.0000 0.4309
Y1 Y 0.1679 0.5000 0.8093
Ni1 Ni 0.1682 0.5000 0.2292
```

Entry 7:
Below is a geometry-optimized PmYNi structure, with properties calculated at the PBE-GGA level.

Results
The value obtained for the offset from the most stable computed form is 0.143 eV per atom. As for the energy of formation from the pure elements: -100 meV per atom. Its total moment is 0.000 μB per formula unit.

```
data_PmYNi
_space_group_name_H-M_alt 'F -4 3 m'
_space_group_IT_number 216
_space_group_name_Hall 'F -4 2 3'
_cell_length_a 6.8144
_cell_length_b 6.8144
_cell_length_c 6.8144
_cell_angle_alpha 90.00
_cell_angle_beta 90.00
_cell_angle_gamma 90.00
loop_
_atom_site_label
_atom_site_type_symbol
_atom_site_fract_x
_atom_site_fract_y
_atom_site_fract_z
Pm1 Pm 0.0000 0.0000 0.0000
Y1 Y 0.0000 0.0000 0.5000
Ni1 Ni 0.2500 0.2500 0.2500
```

Entry 8:
Below is a geometry-optimized Pm2Y5Ni4 structure, with properties calculated at the PBE-GGA level.

Results
As for the energy of formation from the pure elements: -54 meV per atom. Its total moment is 0.000 μB per formula unit.

```
data_Pm2Y5Ni4
_space_group_name_H-M_alt 'C 1 2/m 1'
_space_group_IT_number 12
_cell_length_a 22.3878
_cell_length_b 3.6313
_cell_length_c 7.0796
_cell_angle_alpha 90.00
_cell_angle_beta 102.33
_cell_angle_gamma 90.00
loop_
_space_group_symop_operation_xyz
'x,y,z'
'-x,-y,-z'
'-x,y,-z'
'x,-y,z'
'x+1/2,y+1/2,z'
'-x+1/2,-y+1/2,-z'
'-x+1/2,y+1/2,-z'
'x+1/2,-y+1/2,z'
loop_
_atom_site_label
_atom_site_type_symbol
_atom_site_fract_x
_atom_site_fract_y
_atom_site_fract_z
Pm1 Pm 0.0656 0.0000 0.1625
Y1 Y 0.0000 0.5000 0.5000
Y2 Y 0.1625 0.0000 0.6105
Y3 Y 0.2057 0.0000 0.1177
Ni1 Ni 0.0576 0.0000 0.7863
Ni2 Ni 0.1307 0.5000 0.8646
```

Among the records above, which one has the lowest energy of formation from the pure elements?
Pm2YNi9